(1)
# InIrPb | the Alexandria database | PBE | optimized geometry
# * ΔE to the lowest computed polymorph: 1.84 eV/f.u.
# * formation energy: 60.6 kJ/mol of atoms
data_InIrPb
_symmetry_space_group_name_H-M 'F -4 3 m'
_symmetry_Int_Tables_number 216
_symmetry_space_group_name_Hall 'F -4 2 3'
_cell_length_a 6.6348
_cell_length_b 6.6348
_cell_length_c 6.6348
_cell_angle_alpha 90.00
_cell_angle_beta 90.00
_cell_angle_gamma 90.00
loop_
_atom_site_label
_atom_site_fract_x
_atom_site_fract_y
_atom_site_fract_z
_atom_site_occupancy
In1 0.0000 0.0000 0.0000 1
Ir1 0.2500 0.2500 0.7500 1
Pb1 0.2500 0.2500 0.2500 1

(2)
# CuBiOF2 | the Alexandria database | PBE | optimized geometry
# * ΔE to the lowest computed polymorph: 0.44 eV/f.u.
# * ΔE_f (raw): -0.976 eV/atom
data_CuBiOF2
_symmetry_space_group_name_H-M 'P 4/m m m'
_symmetry_Int_Tables_number 123
_symmetry_space_group_name_Hall '-P 4 2'
_cell_length_a 4.5526
_cell_length_b 4.5526
_cell_length_c 4.4592
_cell_angle_alpha 90.00
_cell_angle_beta 90.00
_cell_angle_gamma 90.00
loop_
_atom_site_label
_atom_site_fract_x
_atom_site_fract_y
_atom_site_fract_z
_atom_site_occupancy
Cu1 0.0000 0.0000 0.0000 1
Bi1 0.5000 0.5000 0.5000 1
O1 0.5000 0.5000 0.0000 1
F1 0.0000 0.5000 0.5000 1

(3)
# Ce2Pm8Tm | the Alexandria database | PBE | optimized geometry
# * formation energy: 15.1 kJ/mol of atoms
data_Ce2Pm8Tm
_symmetry_space_group_name_H-M 'I m m m'
_symmetry_Int_Tables_number 71
_symmetry_space_group_name_Hall '-I 2 2'
_cell_length_a 5.6042
_cell_length_b 8.3082
_cell_length_c 15.9735
_cell_angle_alpha 90.00
_cell_angle_beta 90.00
_cell_angle_gamma 90.00
loop_
_atom_site_label
_atom_site_fract_x
_atom_site_fract_y
_atom_site_fract_z
_atom_site_occupancy
Ce1 0.0000 0.0000 0.2010 1
Pm1 0.0000 0.2040 0.0000 1
Pm2 0.0000 0.2938 0.3612 1
Pm3 0.0000 0.5000 0.1573 1
Tm1 0.0000 0.0000 0.5000 1

(4)
# Ce2HRh | the Alexandria database | PBE | optimized geometry
# * ΔE to the lowest computed polymorph: 0.00 eV/f.u.
data_Ce2HRh
_symmetry_space_group_name_H-M 'C 1 2/m 1'
_symmetry_Int_Tables_number 12
_symmetry_space_group_name_Hall '-C 2y'
_cell_length_a 14.1035
_cell_length_b 3.7833
_cell_length_c 6.8993
_cell_angle_alpha 90.00
_cell_angle_beta 117.04
_cell_angle_gamma 90.00
loop_
_atom_site_label
_atom_site_fract_x
_atom_site_fract_y
_atom_site_fract_z
_atom_site_occupancy
Ce1 0.0066 0.0000 0.2478 1
Ce2 0.2175 0.5000 0.7216 1
H1 0.1126 0.0000 0.6122 1
Rh1 0.1247 0.5000 0.0853 1

(5)
# Mg3In6Sn2 | the Alexandria database | PBE | optimized geometry
# * formation energy: 0.0 kJ/mol of atoms
data_Mg3In6Sn2
_symmetry_space_group_name_H-M 'P 1'
_symmetry_Int_Tables_number 1
_symmetry_space_group_name_Hall 'P 1'
_cell_length_a 6.3335
_cell_length_b 6.4037
_cell_length_c 8.1812
_cell_angle_alpha 90.56
_cell_angle_beta 105.98
_cell_angle_gamma 113.03
loop_
_atom_site_label
_atom_site_fract_x
_atom_site_fract_y
_atom_site_fract_z
_atom_site_occupancy
Mg1 0.0000 0.0000 0.0000 1
Mg2 0.1155 0.2905 0.6932 1
Mg3 0.7763 0.8852 0.3588 1
In1 0.1097 0.8075 0.6752 1
In2 0.1844 0.3496 0.3351 1
In3 0.5044 0.4983 0.0518 1
In4 0.5697 0.7152 0.6788 1
In5 0.7072 0.3596 0.4225 1
In6 0.9558 0.4822 0.9618 1
Sn1 0.2644 0.8655 0.3226 1
Sn2 0.5215 0.0123 0.0178 1

(6)
# Sc2GeTe2 | the Alexandria database | PBE | optimized geometry
# * ΔE_f (raw): -0.736 eV/atom
data_Sc2GeTe2
_symmetry_space_group_name_H-M 'P 4/m b m'
_symmetry_Int_Tables_number 127
_symmetry_space_group_name_Hall '-P 4 2ab'
_cell_length_a 7.8030
_cell_length_b 7.8030
_cell_length_c 3.9014
_cell_angle_alpha 90.00
_cell_angle_beta 90.00
_cell_angle_gamma 90.00
loop_
_atom_site_label
_atom_site_fract_x
_atom_site_fract_y
_atom_site_fract_z
_atom_site_occupancy
Sc1 0.1555 0.3445 0.0000 1
Ge1 0.0000 0.0000 0.0000 1
Te1 0.1491 0.6491 0.5000 1

What did the third record say?
# Ce2Pm8Tm | the Alexandria database | PBE | optimized geometry
# * formation energy: 15.1 kJ/mol of atoms
data_Ce2Pm8Tm
_symmetry_space_group_name_H-M 'I m m m'
_symmetry_Int_Tables_number 71
_symmetry_space_group_name_Hall '-I 2 2'
_cell_length_a 5.6042
_cell_length_b 8.3082
_cell_length_c 15.9735
_cell_angle_alpha 90.00
_cell_angle_beta 90.00
_cell_angle_gamma 90.00
loop_
_atom_site_label
_atom_site_fract_x
_atom_site_fract_y
_atom_site_fract_z
_atom_site_occupancy
Ce1 0.0000 0.0000 0.2010 1
Pm1 0.0000 0.2040 0.0000 1
Pm2 0.0000 0.2938 0.3612 1
Pm3 0.0000 0.5000 0.1573 1
Tm1 0.0000 0.0000 0.5000 1